No. 1
Below is a PBEsol-optimized structure of Li3MnBPO7, with properties calculated at the meta-GGA SCAN level.

Summary:
- magnetic moment (μB per cell) = 8.00
- total energy (eV for the cell shown) = -237.476
- E_form (uncorrected) (meV/atom) = -2451
- space-group type = P2_1/m (11)

Cell: 4.9224 6.6174 8.1725 Å, 90.00 95.92 90.00°
Closest atoms and distances in Å follow each position.
Sites, in units of the cell vectors:
Li  0.2275  0.2500  0.5975  4 O 1.93-2.12
Li  0.7725  0.7500  0.4025  4 O 1.93-2.12
Li  0.7499  0.0042  0.7422  3 O 2.01-2.12
Li  0.7499  0.4958  0.7422  3 O 2.01-2.12
Li  0.2501  0.5042  0.2578  3 O 2.01-2.12
Li  0.2501  0.9958  0.2578  3 O 2.01-2.12
Mn  0.2188  0.7500  0.8254  4 O 1.88-2.01
Mn  0.7812  0.2500  0.1746  4 O 1.88-2.01
B  0.3007  0.7500  0.5445  3 O 1.34-1.41
B  0.6993  0.2500  0.4555  3 O 1.34-1.41
P  0.2504  0.2500  0.9138  4 O 1.54-1.56
P  0.7496  0.7500  0.0862  4 O 1.54-1.56
O  0.6284  0.2500  0.6099  1 B 1.34
O  0.3716  0.7500  0.3901  1 B 1.34
O  0.0381  0.7500  0.5937  1 B 1.39
O  0.9619  0.2500  0.4063  1 B 1.39
O  0.4962  0.7500  0.6841  1 B 1.41
O  0.5038  0.2500  0.3159  1 B 1.41
O  0.5650  0.2500  0.9609  1 P 1.56
O  0.4350  0.7500  0.0391  1 P 1.56
O  0.8811  0.7500  0.9227  1 P 1.54
O  0.1189  0.2500  0.0773  1 P 1.54
O  0.1629  0.0678  0.8035  1 P 1.54
O  0.1629  0.4322  0.8035  1 P 1.54
O  0.8371  0.5678  0.1965  1 P 1.54
O  0.8371  0.9322  0.1965  1 P 1.54



No. 2
Below is a PBEsol-optimized structure of Li6Mn2B4SO16, with properties calculated at the meta-GGA SCAN level.

Summary:
- magnetic moment (μB per cell) = 12.07
- total energy (eV for the cell shown) = -514.182
- density of states at the Fermi level (states/eV/cell) = 0.00
- E_form (uncorrected) (meV/atom) = -2317
- space-group type = Fd-3 (203)

Cell: 9.2445 9.2445 9.2445 Å, 60.00 60.00 60.00°
Closest atoms and distances in Å follow each position.
Sites, in units of the cell vectors:
Li  0.7785  0.2215  0.2215  2 O 2.03
Li  0.7785  0.2215  0.7785  2 O 2.03
Li  0.0285  0.4715  0.0285  2 O 2.03
Li  0.2215  0.7785  0.7785  2 O 2.03
Li  0.0285  0.0285  0.4715  2 O 2.03
Li  0.4715  0.4715  0.0285  2 O 2.03
Li  0.2215  0.2215  0.7785  2 O 2.03
Li  0.7785  0.7785  0.2215  2 O 2.03
Li  0.0285  0.4715  0.4715  2 O 2.03
Li  0.4715  0.0285  0.0285  2 O 2.03
Li  0.4715  0.0285  0.4715  2 O 2.03
Li  0.2215  0.7785  0.2215  2 O 2.03
Mn  0.6250  0.6250  0.6250  6 O 1.90
Mn  0.6250  0.1250  0.6250  6 O 1.90
Mn  0.1250  0.6250  0.6250  6 O 1.90
Mn  0.6250  0.6250  0.1250  6 O 1.90
B  0.8411  0.4767  0.8411  3 O 1.37
B  0.7733  0.4089  0.4089  3 O 1.37
B  0.4089  0.4089  0.7733  3 O 1.37
B  0.8411  0.8411  0.8411  3 O 1.37
B  0.4089  0.4089  0.4089  3 O 1.37
B  0.8411  0.8411  0.4767  3 O 1.37
B  0.4089  0.7733  0.4089  3 O 1.37
B  0.4767  0.8411  0.8411  3 O 1.37
S  0.2500  0.2500  0.2500  4 O 1.49
S  0.0000  0.0000  0.0000  4 O 1.49
O  0.4476  0.1841  0.1841  1 S 1.49
O  0.1841  0.1841  0.4476  1 S 1.49
O  0.1841  0.1841  0.1841  1 S 1.49
O  0.4261  0.5470  0.7753  1 B 1.37
O  0.1841  0.4476  0.1841  1 S 1.49
O  0.7753  0.2516  0.4261  1 B 1.37
O  0.2516  0.7753  0.5470  1 B 1.37
O  0.7753  0.4261  0.5470  1 B 1.37
O  0.8239  0.4747  0.9984  1 B 1.37
O  0.9984  0.7030  0.8239  1 B 1.37
O  0.5470  0.2516  0.7753  1 B 1.37
O  0.7753  0.5470  0.2516  1 B 1.37
O  0.7030  0.4747  0.8239  1 B 1.37
O  0.9984  0.8239  0.4747  1 B 1.37
O  0.4261  0.2516  0.5470  1 B 1.37
O  0.5470  0.4261  0.2516  1 B 1.37
O  0.7030  0.8239  0.9984  1 B 1.37
O  0.2516  0.4261  0.7753  1 B 1.37
O  0.8239  0.9984  0.7030  1 B 1.37
O  0.5470  0.7753  0.4261  1 B 1.37
O  0.4747  0.7030  0.9984  1 B 1.37
O  0.7030  0.9984  0.4747  1 B 1.37
O  0.2516  0.5470  0.4261  1 B 1.37
O  0.4261  0.7753  0.2516  1 B 1.37
O  0.4747  0.8239  0.7030  1 B 1.37
O  0.9984  0.4747  0.7030  1 B 1.37
O  0.4747  0.9984  0.8239  1 B 1.37
O  0.0659  0.8024  0.0659  1 S 1.49
O  0.8239  0.7030  0.4747  1 B 1.37
O  0.0659  0.0659  0.0659  1 S 1.49
O  0.0659  0.0659  0.8024  1 S 1.49
O  0.8024  0.0659  0.0659  1 S 1.49